Density functional theory data (PBE-GGA) for crystalline Ca2Ac2PrNd at its relaxed geometry.

Cell: 5.4451 7.7540 11.5957 Å, 90.00 90.00 90.00°
Fractional positions:
Nd1 0.0000 0.8876 0.4995
Ca1 0.5000 0.1269 0.9968
Ac1 0.0000 0.3766 0.8200
Ac2 0.5000 0.6292 0.6584
Ca2 0.5000 0.6269 0.0032
Pr1 0.5000 0.1436 0.6575
Pr2 0.5000 0.6436 0.3425
Ac3 0.5000 0.1292 0.3416
Nd2 0.0000 0.3876 0.5005
Ca3 0.0000 0.8816 0.8304
Ac4 0.0000 0.8766 0.1800
Ca4 0.0000 0.3816 0.1696

Values from the calculation:
The calculation puts the formation energy at 41 meV per atom. As for the total energy: -3.59 eV/atom. As for the crystal system: orthorhombic. The total moment is 0.000 μB per atom.

Density functional theory data (PBE-GGA) for crystalline Ca2Ac6Pr3Nd at its relaxed geometry.

Cell: 6.7543 6.7543 12.6932 Å, 95.07 95.07 120.05°
Fractional positions:
Pr1 0.1655 0.8345 0.5000
Ac1 0.0842 0.4134 0.2536
Pr2 0.8345 0.1655 0.5000
Ca1 0.3333 0.6667 0.0000
Ac2 0.4134 0.0842 0.2536
Ac3 0.7551 0.7551 0.2527
Ac4 0.5866 0.9158 0.7464
Ac5 0.9158 0.5866 0.7464
Pr3 0.5000 0.5000 0.5000
Ac6 0.2449 0.2449 0.7473
Ca2 0.6667 0.3333 0.0000
Nd1 0.0000 0.0000 0.0000

Values from the calculation:
The calculation puts the formation energy at 28 meV per atom. As for the total energy: -3.95 eV/atom. As for the crystal system: monoclinic. The total moment is 0.000 μB per atom.

Density functional theory data (PBE-GGA) for crystalline CaAc2PrNd at its relaxed geometry.

Cell: 7.3092 8.8862 6.4633 Å, 89.99 90.00 90.00°
Fractional positions:
Ac1 0.2928 0.2978 0.2500
Ca1 0.4040 0.0000 0.7500
Pr1 0.0000 0.0000 0.0000
Ca2 0.5960 0.0000 0.2500
Pr2 0.0000 0.0000 0.5000
Nd1 0.8415 0.5000 0.2500
Ac2 0.7072 0.7022 0.7500
Nd2 0.1585 0.5000 0.7500
Ac3 0.7072 0.2978 0.7500
Ac4 0.2928 0.7022 0.2500

Values from the calculation:
The calculation puts the formation energy at 290 meV per atom. As for the total energy: -3.66 eV/atom. As for the crystal system: orthorhombic. The total moment is 0.000 μB per atom.

Density functional theory data (PBE-GGA) for crystalline CaAcNdRh at its relaxed geometry.

Cell: 4.1939 4.1939 10.0324 Å, 90.02 102.07 119.94°
Fractional positions:
Rh1 0.5852 0.6577 0.2429
Nd1 0.8134 0.2717 0.0851
Ac1 0.3644 0.0472 0.4115
Ca1 0.9291 0.8278 0.7570

Values from the calculation:
The calculation puts the formation energy at -352 meV per atom. As for the total energy: -4.91 eV/atom. As for the crystal system: monoclinic. The total moment is 0.000 μB per atom.

Density functional theory data (PBE-GGA) for crystalline CaAcNd2S4 at its relaxed geometry.

Cell: 4.1024 7.1752 7.1538 Å, 70.93 90.00 90.00°
Fractional positions:
Ac1 0.5000 0.5000 0.0000
Nd1 0.5000 0.0000 0.5000
S1 0.5000 0.7499 0.2593
Ca1 0.0000 0.5000 0.5000
S2 0.0000 0.2438 0.2631
Nd2 0.0000 0.0000 0.0000
S3 0.5000 0.2501 0.7407
S4 0.0000 0.7562 0.7369

Values from the calculation:
As for the total energy: -6.04 eV/atom. The calculation puts the uncorrected formation energy at -1560 kJ/mol of formula units. As for the crystal system: monoclinic. The total moment is 0.000 μB per atom.

Density functional theory data (PBE-GGA) for crystalline Ca2AcNdS4 at its relaxed geometry.

Cell: 4.0950 7.2085 7.0878 Å, 70.88 90.00 90.00°
Fractional positions:
Nd1 0.0000 0.5000 0.5000
Ca1 0.0000 0.0000 0.0000
Ac1 0.5000 0.5000 0.0000
Ca2 0.5000 0.0000 0.5000
S1 0.5000 0.2396 0.7469
S2 0.0000 0.7658 0.7376
S3 0.0000 0.2342 0.2624
S4 0.5000 0.7604 0.2531

Values from the calculation:
As for the total energy: -5.71 eV/atom. The calculation puts the uncorrected formation energy at -1571 kJ/mol of formula units. As for the crystal system: monoclinic. The total moment is 0.000 μB per atom.

Density functional theory data (PBE-GGA) for crystalline CaAc3Nd2S6 at its relaxed geometry.

Cell: 7.2397 7.2397 7.2522 Å, 99.52 99.52 120.02°
Fractional positions:
Ac1 0.1679 0.8321 0.5000
S1 0.7502 0.7502 0.2326
Ac2 0.8321 0.1679 0.5000
S2 0.4048 0.0770 0.2320
S3 0.0770 0.4048 0.2320
Ca1 0.0000 0.0000 0.0000
S4 0.5952 0.9230 0.7680
Nd1 0.6667 0.3333 0.0000
Ac3 0.5000 0.5000 0.5000
S5 0.2498 0.2498 0.7674
S6 0.9230 0.5952 0.7680
Nd2 0.3333 0.6667 0.0000

Values from the calculation:
As for the total energy: -6.07 eV/atom. The calculation puts the uncorrected formation energy at -2335 kJ/mol of formula units. As for the crystal system: monoclinic. The total moment is 0.000 μB per atom.

Density functional theory data (PBE-GGA) for crystalline CaAc2NdS4 at its relaxed geometry.

Cell: 4.1578 7.2601 7.2574 Å, 70.89 90.00 90.00°
Fractional positions:
Ac1 0.0000 0.0000 0.0000
S1 0.0000 0.7303 0.7600
Ca1 0.5000 0.5000 0.0000
S2 0.5000 0.7320 0.2515
S3 0.5000 0.2680 0.7485
S4 0.0000 0.2697 0.2400
Ac2 0.5000 0.0000 0.5000
Nd1 0.0000 0.5000 0.5000

Values from the calculation:
As for the total energy: -5.95 eV/atom. The calculation puts the uncorrected formation energy at -1557 kJ/mol of formula units. As for the crystal system: monoclinic. The total moment is 0.000 μB per atom.

Number 1: calculated density 5.56 g cm⁻³. Number 2: calculated density 6.76 g cm⁻³. Number 3: calculated density 6.16 g cm⁻³. Number 4: calculated density 5.75 g cm⁻³. Number 5: calculated density 5.71 g cm⁻³. Number 6: calculated density 4.87 g cm⁻³. Number 7: calculated density 6.43 g cm⁻³. Number 8: calculated density 6.15 g cm⁻³.